Entry 1:
PBE-GGA Tb6Y3Ho2Pu, optimized geometry; space group = C2/m; total magnetic moment = 6.57 μB per formula unit; crystal system = monoclinic; DOS(E_F) = 24.55 states/eV per cell; DFT formation energy = 44 meV/atom
1.0
-1.3626 1.3614 5.8341
-1.7396 -5.3884 -2.3844
10.9827 -3.3810 2.2730
Tb Y Ho Pu
6 3 2 1
Direct
0.9177 0.5881 0.7530
0.7526 0.7526 0.2470
0.0823 0.4119 0.2470
0.5881 0.9177 0.7530
0.2474 0.2474 0.7530
0.4119 0.0823 0.2470
0.1670 0.8330 0.5000
0.8330 0.1670 0.5000
0.5000 0.5000 0.5000
0.3334 0.6666 0.0000
0.6666 0.3334 0.0000
0.0000 0.0000 0.0000

Entry 2:
PBE-GGA LiInAs2, optimized geometry; space group = R-3m; total magnetic moment = 0.00 μB per formula unit; crystal system = trigonal; DOS(E_F) = 1.16 states/eV per cell; DFT formation energy = 28 meV/atom
1.0
-3.3683 4.1966 -7.9108
-1.3982 2.1239 -9.2234
-4.3179 1.2450 -8.4465
As In Li
2 1 1
Direct
0.0096 0.0096 0.0096
0.4904 0.4904 0.4904
0.2500 0.2500 0.2500
0.7500 0.7500 0.7500

Entry 3:
PBE-GGA SeN, optimized geometry; space group = C2/c; total magnetic moment = 0.00 μB per formula unit; energy relative to the elements, uncorrected = 0.805 eV per atom; crystal system = monoclinic; DOS(E_F) = 0.00 states/eV per cell
1.0
5.3313 5.2988 -0.5631
-5.3313 5.2988 -0.5631
0.0000 0.9934 6.2975
Se N
8 8
Direct
0.4273 0.7524 0.4265
0.9559 0.2477 0.5750
0.7524 0.4273 0.9265
0.0441 0.7523 0.4250
0.5727 0.2476 0.5735
0.2477 0.9559 0.0750
0.2476 0.5727 0.0735
0.7523 0.0441 0.9250
0.5705 0.4295 0.7500
0.5711 0.0534 0.7471
0.0540 0.9460 0.2500
0.9460 0.0540 0.7500
0.4295 0.5705 0.2500
0.9466 0.4289 0.7529
0.0534 0.5711 0.2471
0.4289 0.9466 0.2529

Entry 4:
PBE-GGA Ti2SiRh6, optimized geometry; space group = Immm; total magnetic moment = 0.00 μB per formula unit; energy relative to the elements, uncorrected = -0.460 eV per atom; crystal system = orthorhombic; DOS(E_F) = 6.34 states/eV per cell
1.0
-2.2114 -1.8015 2.9239
-2.2129 -3.6538 -3.9248
6.7646 -1.1601 1.5529
Ti Si Rh
2 1 6
Direct
0.6656 0.6653 0.3305
0.3344 0.3347 0.6695
0.0000 0.0000 0.0000
0.1628 0.4079 0.3252
0.8372 0.0827 0.6748
0.8372 0.5921 0.6748
0.5000 0.2386 0.0000
0.1628 0.9173 0.3252
0.5000 0.7614 0.0000